# 1
The following is a PBE calculation of a relaxed KSnPb crystal, from the Alexandria database.

## Properties
* ΔH_f (0 K): -106 meV per atom

Cell lengths 4.8511, 4.8511, 5.6817 Å; angles 90.00, 90.00, 120.00 degrees
Space group P3m1 (No. 156)
Unique sites:
K1 0.0000 0.0000 0.0000 [1 per cell]
Sn1 0.3333 0.6667 0.5986 [1 per cell]
Pb1 0.6667 0.3333 0.4115 [1 per cell]


# 2
The following is a PBE calculation of a relaxed Y3MnCl crystal, from the Alexandria database.

## Properties
* formation energy without anion corrections: 0.27 eV/f.u.

Cell lengths 5.296, 5.296, 5.296 Å; angles 90.00, 90.00, 90.00 degrees
Space group Pm-3m (No. 221)
Unique sites:
Y1 0.000 0.000 0.500 [3 per cell]
Mn1 0.000 0.000 0.000 [1 per cell]
Cl1 0.500 0.500 0.500 [1 per cell]


# 3
The following is a PBE calculation of a relaxed FeAgSb2 crystal, from the Alexandria database.

## Properties
* formation energy without anion corrections: 0.78 eV/f.u.

Cell lengths 3.154, 3.135, 8.342 Å; angles 90.00, 90.69, 90.00 degrees
Space group P2/m (No. 10)
Unique sites:
Fe1 0.000 0.000 0.000 [1 per cell]
Ag1 0.500 0.000 0.500 [1 per cell]
Sb1 0.494 0.500 0.809 [2 per cell]